DFT (PBE) results for a geometry-optimized NpPaTlO6 structure.

Unit cell a=7.985 b=7.968 c=7.994 alpha=119.90 beta=119.96 gamma=90.00
Atoms (fractional coordinates):
1 Tl 0.062 0.312 0.124
2 Tl 0.938 0.688 0.876
3 Pa 0.000 0.000 0.500
4 Pa 0.500 0.000 0.500
5 O 0.173 0.923 0.346
6 O 0.437 0.678 0.242
7 O 0.437 0.064 0.242
8 O 0.827 0.077 0.654
9 O 0.563 0.322 0.758
10 O 0.443 0.693 0.885
11 O 0.195 0.936 0.758
12 O 0.557 0.307 0.115
13 O 0.805 0.678 0.242
14 O 0.195 0.322 0.758
15 O 0.805 0.064 0.242
16 O 0.563 0.936 0.758
17 Np 0.500 0.000 0.000
18 Np 0.500 0.500 0.000

Properties
Calculated density in g/cm³: 7.1
ΔE_f (raw) in eV/atom: -2.750
Space group: Imma
Total DFT energy (no corrections) in eV/atom: -8.8110